## SrHgPb (PBE)

Data for SrHgPb after structural relaxation.

Lattice parameters (Å, degrees): 8.128 8.128 4.851 90.00 90.00 120.00
Atoms (fractional coordinates):
Sr  0.000  0.574  0.000
Sr  0.426  0.426  0.000
Sr  0.574  0.000  0.000
Hg  0.000  0.253  0.500
Hg  0.253  0.000  0.500
Hg  0.747  0.747  0.500
Pb  0.000  0.000  0.000
Pb  0.333  0.667  0.500
Pb  0.667  0.333  0.500

Output
The value obtained for the mass density is 8.893 Mg/m³. Its energy is -0.170 Ry per atom. Its symmetry is No. 189. Its crystal system is hexagonal.